Record 1
A relaxed PmErBeOs crystal. Source: Alexandria via LeMat-Bulk, functional PBE-GGA.

Calculated values
Density, Mg/m³: 10.37
V, Å³/atom: 20.47
Raw total energy, Ha/atom: -0.223
ΔE_f, eV per formula unit: 0.0

Cell: 4.875 4.875 4.875 Å, 60.00 60.00 60.00°
Sites, in units of the cell vectors:
1 Pm 0.000 0.000 0.000
2 Er 0.500 0.500 0.500
3 Be 0.750 0.750 0.750
4 Os 0.250 0.250 0.250

Record 2
A relaxed TiFeBMo2 crystal. Source: Alexandria via LeMat-Bulk, functional PBE-GGA.

Calculated values
Density, Mg/m³: 7.16
V, Å³/atom: 14.22
Raw total energy, Ha/atom: -0.316
ΔE_f, eV per formula unit: 1.7

Cell: 4.132 4.132 4.163 Å, 90.00 90.00 90.00°
Sites, in units of the cell vectors:
1 Ti 0.000 0.000 0.000
2 Fe 0.500 0.500 0.000
3 B 0.000 0.000 0.500
4 Mo 0.000 0.500 0.500
5 Mo 0.500 0.000 0.500

Question: Among the records above, which one has the highest V?
Answer: PmErBeOs

Question: Among the records above, which one has the lowest ΔE_f?
Answer: PmErBeOs

Question: Which formula does entry 2 have?
Answer: TiFeBMo2